Entry 1:
NdDy2Y6Er3 after structural relaxation. Source: Alexandria via LeMat-Bulk, functional GGA-PBE.

a b c (Å): 6.1673 10.6705 11.7979
angles (deg): 90.00 99.98 90.00
Last column: nearest neighbours and their distance in Å.
Space group C2/m (No. 12)
One atom of each set of equivalent atoms:
Nd 0.0000 0.0000 0.0000 (multiplicity 2)  6 Dy 3.56, 6 Y 3.58
Dy 0.0000 0.3334 0.0000 (multiplicity 4)  3 Dy 3.56, 3 Nd 3.56, 6 Y 3.57-3.58
Y 0.2486 0.3331 0.7479 (multiplicity 8)  3 Er 3.53-3.54, 6 Y 3.55-3.57, 2 Dy 3.57-3.58, 1 Nd 3.58
Y 0.2495 0.0000 0.7478 (multiplicity 4)  3 Er 3.54, 6 Y 3.55-3.57, 2 Dy 3.58, 1 Nd 3.58
Er 0.0000 0.1670 0.5000 (multiplicity 4)  6 Y 3.53-3.54, 6 Er 3.55-3.56
Er 0.0000 0.5000 0.5000 (multiplicity 2)  6 Y 3.54, 6 Er 3.55-3.56

Values from the calculation:
* VASP energy: -132.4 eV for the cell shown
* formation enthalpy at 0 K: 0.27 eV/f.u.

Entry 2:
Sr2Ga12Au7 after structural relaxation. Source: Alexandria via LeMat-Bulk, functional GGA-PBE.

a b c (Å): 10.6699 10.6699 4.3352
angles (deg): 90.00 90.00 120.00
Last column: nearest neighbours and their distance in Å.
Space group P-3 (No. 147)
One atom of each set of equivalent atoms:
Sr 0.3333 0.6667 0.2580 (multiplicity 2)  6 Au 3.36-3.38, 12 Ga 3.46-3.76
Ga 0.0571 0.4335 0.7442 (multiplicity 6)  4 Au 2.65-2.75, 1 Ga 2.91
Ga 0.1218 0.2598 0.2474 (multiplicity 6)  4 Au 2.64-2.82, 1 Ga 2.91
Au 0.0000 0.0000 0.5000 (multiplicity 1)  6 Ga 2.64
Au 0.1126 0.7046 0.7607 (multiplicity 6)  7 Ga 2.65-2.82

Values from the calculation:
* VASP energy: -70.4 eV for the cell shown
* formation enthalpy at 0 K: -7.75 eV/f.u.

Entry 3:
Ac2Er3Ir2 after structural relaxation. Source: Alexandria via LeMat-Bulk, functional GGA-PBE.

a b c (Å): 12.6096 3.9632 9.2453
angles (deg): 90.00 118.33 90.00
Last column: nearest neighbours and their distance in Å.
Space group C2/m (No. 12)
One atom of each set of equivalent atoms:
Ac 0.1626 0.0000 0.2944 (multiplicity 4)  2 Ir 3.07
Er 0.0000 0.5000 0.5000 (multiplicity 2)  4 Ir 2.99
Er 0.1261 0.5000 0.9263 (multiplicity 4)  3 Ir 2.80-2.92
Ir 0.1671 0.0000 0.7450 (multiplicity 4)  5 Er 2.80-2.99, 2 Ac 3.07

Values from the calculation:
* VASP energy: -87.5 eV for the cell shown
* formation enthalpy at 0 K: -4.11 eV/f.u.